Entry 1:
! CaTaOs, relaxed, DFT PBE-GGA; values from VASP
&SYSTEM
  ibrav = 0, nat = 3, ntyp = 3
/
ATOMIC_SPECIES
Ca 40.08 Ca.upf
Os 190.23 Os.upf
Ta 180.95 Ta.upf
CELL_PARAMETERS angstrom
4.530 0.000 0.000
2.265 3.923 0.000
2.265 1.308 3.698
ATOMIC_POSITIONS crystal
Ca 0.500 0.500 0.500
Os 0.750 0.750 0.750
Ta 0.000 0.000 0.000
! Raw total energy   -0.2875 Ha/atom
! E above lowest polymorph   344 meV per atom
! ΔE_f   537 meV/atom

***

Entry 2:
! CaTa3Os, relaxed, DFT PBE-GGA; values from VASP
&SYSTEM
  ibrav = 0, nat = 5, ntyp = 3
/
ATOMIC_SPECIES
Ca 40.08 Ca.upf
Os 190.23 Os.upf
Ta 180.95 Ta.upf
CELL_PARAMETERS angstrom
-2.935 3.289 -2.245
2.153 -1.035 -4.332
-3.350 -3.547 -0.817
ATOMIC_POSITIONS crystal
Ca 0.500 0.500 0.500
Os 0.000 0.000 0.000
Ta 0.000 0.500 0.000
Ta 0.000 0.000 0.500
Ta 0.500 0.000 0.000
! Raw total energy   -0.3254 Ha/atom
! E above lowest polymorph   0 meV per atom
! ΔE_f   904 meV/atom

***

Entry 3:
! CaTaOs3, relaxed, DFT PBE-GGA; values from VASP
&SYSTEM
  ibrav = 0, nat = 5, ntyp = 3
/
ATOMIC_SPECIES
Ca 40.08 Ca.upf
Os 190.23 Os.upf
Ta 180.95 Ta.upf
CELL_PARAMETERS angstrom
-4.681 -0.058 1.140
-0.548 -4.106 -2.461
1.001 -2.521 3.982
ATOMIC_POSITIONS crystal
Ca 0.500 0.500 0.500
Os 0.000 0.500 0.000
Os 0.000 0.000 0.500
Os 0.500 0.000 0.000
Ta 0.000 0.000 0.000
! Raw total energy   -0.2957 Ha/atom
! E above lowest polymorph   0 meV per atom
! ΔE_f   1461 meV/atom

***

Entry 4:
! CaTaOs, relaxed, DFT PBE-GGA; values from VASP
&SYSTEM
  ibrav = 0, nat = 3, ntyp = 3
/
ATOMIC_SPECIES
Ca 40.08 Ca.upf
Os 190.23 Os.upf
Ta 180.95 Ta.upf
CELL_PARAMETERS angstrom
-1.025 -0.260 -4.467
0.783 -3.833 2.402
-3.010 -0.175 0.701
ATOMIC_POSITIONS crystal
Ca 0.000 0.000 0.009
Os 0.333 0.667 0.379
Ta 0.667 0.333 0.612
! Raw total energy   -0.2903 Ha/atom
! E above lowest polymorph   271 meV per atom
! ΔE_f   463 meV/atom

***

Entry 5:
! CaTa2Os2, relaxed, DFT PBE-GGA; values from VASP
&SYSTEM
  ibrav = 0, nat = 5, ntyp = 3
/
ATOMIC_SPECIES
Ca 40.08 Ca.upf
Os 190.23 Os.upf
Ta 180.95 Ta.upf
CELL_PARAMETERS angstrom
4.355 0.000 0.000
0.000 4.355 0.000
2.177 2.177 5.490
ATOMIC_POSITIONS crystal
Ca 0.000 0.000 0.000
Os 0.382 0.382 0.237
Os 0.618 0.618 0.763
Ta 0.750 0.250 0.500
Ta 0.250 0.750 0.500
! Raw total energy   -0.3605 Ha/atom
! E above lowest polymorph   0 meV per atom
! ΔE_f   -176 meV/atom

***

Entry 6:
! Ca2TaOs2, relaxed, DFT PBE-GGA; values from VASP
&SYSTEM
  ibrav = 0, nat = 10, ntyp = 3
/
ATOMIC_SPECIES
Ca 40.08 Ca.upf
Os 190.23 Os.upf
Ta 180.95 Ta.upf
CELL_PARAMETERS angstrom
8.486 0.000 0.000
0.000 8.486 0.000
0.000 0.000 2.713
ATOMIC_POSITIONS crystal
Ca 0.381 0.881 0.000
Ca 0.881 0.619 0.000
Ca 0.619 0.119 0.000
Ca 0.119 0.381 0.000
Os 0.184 0.684 0.500
Os 0.684 0.816 0.500
Os 0.816 0.316 0.500
Os 0.316 0.184 0.500
Ta 0.000 0.000 0.000
Ta 0.500 0.500 0.000
! Raw total energy   -0.2468 Ha/atom
! E above lowest polymorph   74 meV per atom
! ΔE_f   947 meV/atom

***

Entry 7:
! Ca4TaOs, relaxed, DFT PBE-GGA; values from VASP
&SYSTEM
  ibrav = 0, nat = 6, ntyp = 3
/
ATOMIC_SPECIES
Ca 40.08 Ca.upf
Ta 180.95 Ta.upf
Os 190.23 Os.upf
CELL_PARAMETERS angstrom
2.695 -5.064 -1.669
-0.975 -5.047 3.045
-3.190 -4.408 -2.467
ATOMIC_POSITIONS crystal
Ca 0.873 0.376 0.376
Ca 0.376 0.376 0.873
Ca 0.376 0.873 0.376
Ca 0.376 0.376 0.376
Ta 0.000 0.000 0.000
Os 0.750 0.750 0.750
! Raw total energy   -0.1378 Ha/atom
! ΔE_f   1432 meV/atom

***

Entry 8:
! CaTaTiOs2, relaxed, DFT PBE-GGA; values from VASP
&SYSTEM
  ibrav = 0, nat = 5, ntyp = 4
/
ATOMIC_SPECIES
Ca 40.08 Ca.upf
Ti 47.87 Ti.upf
Os 190.23 Os.upf
Ta 180.95 Ta.upf
CELL_PARAMETERS angstrom
4.782 0.000 0.000
0.000 4.974 0.000
0.000 0.000 4.782
ATOMIC_POSITIONS crystal
Ca 0.000 0.500 0.000
Ti 0.500 0.500 0.500
Os 0.000 0.000 0.500
Os 0.500 0.000 0.000
Ta 0.000 0.000 0.000
! Raw total energy   -0.2643 Ha/atom
! ΔE_f   1649 meV/atom

***

Entry 9:
! CaTbOs4, relaxed, DFT PBE-GGA; values from VASP
&SYSTEM
  ibrav = 0, nat = 6, ntyp = 3
/
ATOMIC_SPECIES
Tb 158.93 Tb.upf
Ca 40.08 Ca.upf
Os 190.23 Os.upf
CELL_PARAMETERS angstrom
5.361 0.000 0.000
2.681 4.643 0.000
2.681 1.548 4.377
ATOMIC_POSITIONS crystal
Tb 0.250 0.250 0.250
Ca 0.000 0.000 0.000
Os 0.625 0.625 0.125
Os 0.625 0.125 0.625
Os 0.625 0.625 0.625
Os 0.125 0.625 0.625
! Raw total energy   -0.3178 Ha/atom
! ΔE_f   -57 meV/atom

***

Entry 10:
! CaTb3Os, relaxed, DFT PBE-GGA; values from VASP
&SYSTEM
  ibrav = 0, nat = 5, ntyp = 3
/
ATOMIC_SPECIES
Tb 158.93 Tb.upf
Ca 40.08 Ca.upf
Os 190.23 Os.upf
CELL_PARAMETERS angstrom
-3.599 1.829 3.721
-2.376 -4.947 0.134
3.397 -1.523 4.035
ATOMIC_POSITIONS crystal
Tb 0.000 0.500 0.000
Tb 0.000 0.000 0.500
Tb 0.500 0.000 0.000
Ca 0.500 0.500 0.500
Os 0.000 0.000 0.000
! Raw total energy   -0.2019 Ha/atom
! ΔE_f   -70 meV/atom

***

Entry 11:
! CaTb2Os, relaxed, DFT PBE-GGA; values from VASP
&SYSTEM
  ibrav = 0, nat = 4, ntyp = 3
/
ATOMIC_SPECIES
Tb 158.93 Tb.upf
Ca 40.08 Ca.upf
Os 190.23 Os.upf
CELL_PARAMETERS angstrom
-2.129 2.656 0.474
-2.560 -1.798 -1.423
-2.420 -3.507 8.781
ATOMIC_POSITIONS crystal
Tb 0.000 0.000 0.830
Tb 0.000 0.000 0.170
Ca 0.500 0.500 0.500
Os 0.500 0.500 0.000
! Raw total energy   -0.2112 Ha/atom
! E above lowest polymorph   0 meV per atom
! ΔE_f   -123 meV/atom

***

Entry 12:
! CaTb2Os, relaxed, DFT PBE-GGA; values from VASP
&SYSTEM
  ibrav = 0, nat = 4, ntyp = 3
/
ATOMIC_SPECIES
Tb 158.93 Tb.upf
Ca 40.08 Ca.upf
Os 190.23 Os.upf
CELL_PARAMETERS angstrom
-1.054 3.701 1.405
-2.719 0.336 3.045
5.476 0.965 7.539
ATOMIC_POSITIONS crystal
Tb 0.281 0.281 0.156
Tb 0.719 0.719 0.844
Ca 0.500 0.500 0.500
Os 0.000 0.000 0.000
! Raw total energy   -0.2051 Ha/atom
! E above lowest polymorph   167 meV per atom
! ΔE_f   43 meV/atom